No. 1
Compound: MgSc3Al
Source: the Alexandria database
Functional: PBE-GGA
Structure: relaxed

Computed properties:
total magnetic moment	0.000	μB per atom
VASP energy	-4.10	eV/atom
offset from the most stable computed form	0.9790	eV per atom

Cell and atoms, written as CIF:
```
data_MgSc3Al
_symmetry_space_group_name_H-M 'P 1'
_symmetry_Int_Tables_number 1
_symmetry_space_group_name_Hall 'P 1'
_cell_length_a 5.140
_cell_length_b 5.140
_cell_length_c 5.140
_cell_angle_alpha 90.00
_cell_angle_beta 90.00
_cell_angle_gamma 90.00
loop_
_atom_site_label
_atom_site_fract_x
_atom_site_fract_y
_atom_site_fract_z
Mg1 0.000 0.000 0.000
Sc1 0.000 0.000 0.500
Sc2 0.000 0.500 0.000
Sc3 0.500 0.000 0.000
Al1 0.500 0.500 0.500
```

No. 2
Compound: YAlH3
Source: the Alexandria database
Functional: PBE-GGA
Structure: relaxed

Computed properties:
total magnetic moment	0.000	μB per atom
VASP energy	-3.99	eV/atom

Cell and atoms, written as CIF:
```
data_YAlH3
_symmetry_space_group_name_H-M 'P 1'
_symmetry_Int_Tables_number 1
_symmetry_space_group_name_Hall 'P 1'
_cell_length_a 3.755
_cell_length_b 3.755
_cell_length_c 3.755
_cell_angle_alpha 90.00
_cell_angle_beta 90.00
_cell_angle_gamma 90.00
loop_
_atom_site_label
_atom_site_fract_x
_atom_site_fract_y
_atom_site_fract_z
Y1 0.000 0.000 0.000
Al1 0.500 0.500 0.500
H1 0.000 0.500 0.500
H2 0.500 0.000 0.500
H3 0.500 0.500 0.000
```

No. 3
Compound: Cs3BrCl6
Source: the Alexandria database
Functional: PBE-GGA
Structure: relaxed

Computed properties:
total magnetic moment	0.000	μB per atom
VASP energy	-2.62	eV/atom
raw formation energy	-1.093	eV/atom
offset from the most stable computed form	0.0885	eV per atom

Cell and atoms, written as CIF:
```
data_Cs3BrCl6
_symmetry_space_group_name_H-M 'P 1'
_symmetry_Int_Tables_number 1
_symmetry_space_group_name_Hall 'P 1'
_cell_length_a 8.953
_cell_length_b 8.953
_cell_length_c 8.953
_cell_angle_alpha 127.68
_cell_angle_beta 127.68
_cell_angle_gamma 77.14
loop_
_atom_site_label
_atom_site_fract_x
_atom_site_fract_y
_atom_site_fract_z
Cs1 0.000 0.000 0.000
Cs2 0.250 0.750 0.500
Cs3 0.750 0.250 0.500
Br1 0.500 0.500 0.000
Cl1 0.236 0.236 0.000
Cl2 0.287 0.287 0.574
Cl3 0.287 0.713 0.000
Cl4 0.713 0.287 0.000
Cl5 0.713 0.713 0.426
Cl6 0.764 0.764 0.000
```